{
  "formula": "Tb4AlIn",
  "functional": "GGA-PBE",
  "state": "relaxed",
  "cell": [[-0.414, -3.028, 4.116], [4.126, -2.443, 1.811], [2.929, 4.729, 6.966]],
  "species": ["Al", "Tb", "In", "Tb", "Tb", "Tb"],
  "frac_coords": [[0.000, 0.000, 0.000], [0.121, 0.121, 0.636], [0.500, 0.500, 0.500], [0.879, 0.879, 0.364], [0.628, 0.628, 0.115], [0.372, 0.372, 0.885]],
  "relative_energy_mev_per_atom": 208,
  "spacegroup": "R-3m (166)"
}


{
  "formula": "Tb3Al3In",
  "functional": "GGA-PBE",
  "state": "relaxed",
  "cell": [[-2.359, 3.777, 0.911], [-4.543, 0.834, -3.882], [-9.989, -5.412, 7.909]],
  "species": ["Tb", "Tb", "In", "Tb", "Al", "Al", "Al", "In", "Tb", "Al", "Tb", "Al", "Al", "Tb"],
  "frac_coords": [[0.265, 0.253, 0.217], [0.525, 0.326, 0.624], [0.762, 0.088, 0.388], [0.475, 0.674, 0.376], [0.019, 0.186, 0.776], [0.981, 0.814, 0.224], [0.877, 0.698, 0.547], [0.238, 0.912, 0.612], [0.607, 0.712, 0.075], [0.107, 0.859, 0.927], [0.393, 0.288, 0.925], [0.893, 0.141, 0.073], [0.123, 0.302, 0.453], [0.735, 0.747, 0.783]],
  "spacegroup": "C2/m (12)"
}


{
  "formula": "Tb5Al3In",
  "functional": "GGA-PBE",
  "state": "relaxed",
  "cell": [[6.511, 0.000, 0.000], [0.000, 9.110, 0.000], [0.000, -4.555, 7.889]],
  "species": ["Al", "Tb", "Al", "Tb", "Tb", "Al", "Tb", "In", "Tb", "Tb", "Al", "Tb", "In", "Al", "Tb", "Al", "Tb", "Tb"],
  "frac_coords": [[0.750, 0.364, 0.364], [0.000, 0.333, 0.667], [0.250, 0.636, 0.636], [0.250, 0.000, 0.700], [0.250, 0.700, 0.000], [0.750, 0.636, 0.000], [0.000, 0.667, 0.333], [0.000, 0.000, 0.000], [0.750, 0.300, 0.000], [0.750, 0.700, 0.700], [0.750, 0.000, 0.636], [0.750, 0.000, 0.300], [0.500, 0.000, 0.000], [0.250, 0.000, 0.364], [0.500, 0.667, 0.333], [0.250, 0.364, 0.000], [0.500, 0.333, 0.667], [0.250, 0.300, 0.300]],
  "spacegroup": "P6_3/mcm (193)"
}


Number 1: ΔE_f -0.061 eV/atom, magnetization 0.00 Bohr magnetons per cell, calculated volume 191.4 Å³/cell. Number 2: ΔE_f -0.414 eV/atom, magnetization 0.00 Bohr magnetons per cell, calculated volume 346.2 Å³/cell. Number 3: ΔE_f -0.333 eV/atom, magnetization 0.00 Bohr magnetons per cell, calculated volume 467.9 Å³/cell.